VASP calculation (PBE) on Tm3ZnIn2CuAg2 after structural relaxation.

As for the electronic total energy: -3.66 eV/atom.

Lattice parameters (Å, degrees): 3.8734 7.5805 7.5805 120.05 90.00 90.00
Last column: nearest neighbours and their distance in Å.
Element x y z (fractional)
Tm 0.0000 0.5798 0.5798  4 Ag 2.98, 2 Zn 3.15, 1 Cu 3.33
Tm 0.0000 0.0048 0.3993  1 Cu 2.94, 4 Ag 2.99-3.06, 2 Zn 3.26
Tm 0.0000 0.3993 0.0048  1 Cu 2.94, 4 Ag 2.99-3.06, 2 Zn 3.26
Zn 0.5000 0.2510 0.2510  2 Cu 2.61, 2 Ag 2.87
Ag 0.5000 0.6635 0.3317  1 Zn 2.87, 2 In 2.92-2.93, 6 Tm 2.98-3.06
Ag 0.5000 0.3317 0.6635  1 Zn 2.87, 2 In 2.92-2.93, 6 Tm 2.98-3.06
In 0.5000 0.9975 0.7530  2 Cu 2.74, 2 Ag 2.92-2.93
In 0.5000 0.7530 0.9975  2 Cu 2.74, 2 Ag 2.92-2.93
Cu 0.0000 0.0194 0.0194  2 Zn 2.61, 4 In 2.74